[1]
PBE TlBiPbI6, optimized geometry; formation energy (no corrections) = -558 meV/atom; density of states at the Fermi level = 0.00 states/eV/atom; E = -2.70 eV/atom; symmetry = P-31c, No. 163
1.0
8.1180 0.0000 0.0000
-4.0590 7.0304 0.0000
0.0000 0.0000 15.3345
Tl Bi Pb I
2 2 2 12
Direct
0.0000 0.0000 0.0000
0.0000 0.0000 0.5000
0.3333 0.6667 0.2500
0.6667 0.3333 0.7500
0.3333 0.6667 0.7500
0.6667 0.3333 0.2500
0.0139 0.3679 0.1298
0.0139 0.6460 0.3702
0.3540 0.3679 0.3702
0.3540 0.9861 0.1298
0.3679 0.0139 0.6298
0.3679 0.3540 0.8702
0.6321 0.6460 0.1298
0.6321 0.9861 0.3702
0.6460 0.0139 0.8702
0.6460 0.6321 0.6298
0.9861 0.3540 0.6298
0.9861 0.6321 0.8702

[2]
PBE YBiPb2I, optimized geometry; formation energy (no corrections) = 246 meV/atom; density of states at the Fermi level = 0.74 states/eV/atom; E = -3.62 eV/atom; symmetry = P4/mmm, No. 123
1.0
6.1191 0.0000 0.0000
0.0000 6.1191 0.0000
0.0000 0.0000 5.6239
Y Bi Pb I
1 1 2 1
Direct
0.0000 0.0000 0.0000
0.5000 0.5000 0.5000
0.0000 0.5000 0.0000
0.5000 0.0000 0.0000
0.0000 0.0000 0.5000

What did the second record say?
PBE YBiPb2I, optimized geometry; formation energy (no corrections) = 246 meV/atom; density of states at the Fermi level = 0.74 states/eV/atom; E = -3.62 eV/atom; symmetry = P4/mmm, No. 123
1.0
6.1191 0.0000 0.0000
0.0000 6.1191 0.0000
0.0000 0.0000 5.6239
Y Bi Pb I
1 1 2 1
Direct
0.0000 0.0000 0.0000
0.5000 0.5000 0.5000
0.0000 0.5000 0.0000
0.5000 0.0000 0.0000
0.0000 0.0000 0.5000

> What is the density of states at the Fermi level in the second record?

0.74 states/eV/atom